Entry 1:
Entry from the Alexandria database: Y2CdPt after structural relaxation (PBE-GGA).

Lattice parameters (Å, degrees): 6.4631 6.4631 6.4631 147.87 136.05 55.47
Element x y z (fractional)
Y1 0.0000 0.0000 0.0000
Y2 0.7120 0.2120 0.5000
Cd1 0.3035 0.8035 0.5000
Pt1 0.5128 0.5128 0.0000

Calculated formation energy   -0.64 eV per atom
Fermi-level density of states   3.28 states/eV/cell
Symmetry   Imm2, No. 44


Entry 2:
Entry from the Alexandria database: YBeCd3 after structural relaxation (PBE-GGA).

Lattice parameters (Å, degrees): 4.7392 4.7392 4.7392 90.00 90.00 90.00
Element x y z (fractional)
Y1 0.0000 0.0000 0.0000
Be1 0.5000 0.5000 0.5000
Cd1 0.0000 0.5000 0.5000
Cd2 0.5000 0.0000 0.5000
Cd3 0.5000 0.5000 0.0000

Calculated formation energy   0.04 eV per atom
Fermi-level density of states   1.40 states/eV/cell
Energy above the most stable polymorph in this dataset   0 meV/atom
Symmetry   Pm-3m, No. 221